# NpSiPt

NpSiPt after structural relaxation (GGA-PBE, OQMD).

Its calculated total energy is -7.905 eV/atom.

The space group is F-43m (No. 216) and the conventional cell measures 6.415, 6.415 and 6.415 Å, with angles of 90.00, 90.00 and 90.00 degrees. The distinct sites, in fractional coordinates, are Np at (0.000, 0.000, 0.000), Si at (0.250, 0.250, 0.250) and Pt at (0.250, 0.250, 0.750).

=====

# ThSiOs

ThSiOs after structural relaxation (GGA-PBE, OQMD).

Its calculated total energy is -8.207 eV/atom.

The space group is F-43m (No. 216) and the conventional cell measures 6.468, 6.468 and 6.468 Å, with angles of 90.00, 90.00 and 90.00 degrees. The distinct sites, in fractional coordinates, are Th at (0.000, 0.000, 0.000), Si at (0.000, 0.000, 0.500) and Os at (0.250, 0.250, 0.250).

=====

# InCu2Bi

InCu2Bi after structural relaxation (GGA-PBE, OQMD).

Its calculated total energy is -3.329 eV/atom.

The space group is Pm-3m (No. 221) and the conventional cell measures 6.804, 6.804 and 6.804 Å, with angles of 90.00, 90.00 and 90.00 degrees. The distinct sites, in fractional coordinates, are In at (0.000, 0.000, 0.000), In at (0.000, 0.000, 0.500), Cu at (0.227, 0.227, 0.227), Bi at (0.000, 0.500, 0.500) and Bi at (0.500, 0.500, 0.500).

=====

# ScNiHgSb

ScNiHgSb after structural relaxation (GGA-PBE, OQMD).

Its calculated total energy is -4.213 eV/atom.

The space group is F-43m (No. 216) and the conventional cell measures 6.811, 6.811 and 6.811 Å, with angles of 90.00, 90.00 and 90.00 degrees. The distinct sites, in fractional coordinates, are Sc at (0.000, 0.000, 0.000), Ni at (0.250, 0.250, 0.750), Hg at (0.250, 0.250, 0.250) and Sb at (0.000, 0.000, 0.500).

=====

# TlZnSeF

TlZnSeF after structural relaxation (GGA-PBE, OQMD).

Its calculated total energy is -3.237 eV/atom.

The space group is Pbam (No. 55) and the conventional cell measures 9.741, 18.672 and 3.846 Å, with angles of 90.00, 90.00 and 90.00 degrees. The distinct sites, in fractional coordinates, are Tl at (0.009, 0.245, 0.000), Tl at (0.242, 0.873, 0.000), Zn at (0.100, 0.594, 0.500), Zn at (0.110, 0.084, 0.500), Se at (0.231, 0.485, 0.500), Se at (0.241, 0.196, 0.500), F at (0.014, 0.603, 0.000) and F at (0.020, 0.086, 0.000).

=====

# Li4SmTcO6

Li4SmTcO6 after structural relaxation (GGA-PBE, OQMD).

Its calculated total energy is -6.433 eV/atom.

The space group is C2 (No. 5) and the conventional cell measures 5.388, 9.444 and 5.186 Å, with angles of 90.00, 109.03 and 90.00 degrees. The distinct sites, in fractional coordinates, are Li at (0.000, 0.000, 0.000), Li at (0.000, 0.146, 0.500), Li at (0.000, 0.308, 0.000), Li at (0.000, 0.618, 0.000), Sm at (0.000, 0.810, 0.500), Tc at (0.000, 0.480, 0.500), O at (0.215, 0.330, 0.742), O at (0.227, 0.487, 0.269) and O at (0.237, 0.628, 0.747).

=====

# CsAcTb

CsAcTb after structural relaxation (GGA-PBE, OQMD).

Its calculated total energy is -2.032 eV/atom.

The space group is F-43m (No. 216) and the conventional cell measures 8.874, 8.874 and 8.874 Å, with angles of 90.00, 90.00 and 90.00 degrees. The distinct sites, in fractional coordinates, are Cs at (0.000, 0.000, 0.000), Ac at (0.250, 0.250, 0.250) and Tb at (0.000, 0.000, 0.500).

=====

# Lu2AuC

Lu2AuC after structural relaxation (GGA-PBE, OQMD).

Its calculated total energy is -5.977 eV/atom.

The space group is P6_3/mmc (No. 194) and the conventional cell measures 3.5883, 3.5883 and 13.7394 Å, with angles of 90.00, 90.00 and 120.00 degrees. The distinct sites, in fractional coordinates, are Lu at (0.3333, 0.6667, 0.0937), Au at (0.3333, 0.6667, 0.7500) and C at (0.0000, 0.0000, 0.0000).

=====

# MgSiMoW

MgSiMoW after structural relaxation (GGA-PBE, OQMD).

Its calculated total energy is -7.595 eV/atom.

The space group is F-43m (No. 216) and the conventional cell measures 6.238, 6.238 and 6.238 Å, with angles of 90.00, 90.00 and 90.00 degrees. The distinct sites, in fractional coordinates, are Mg at (0.000, 0.000, 0.000), Si at (0.250, 0.250, 0.250), Mo at (0.250, 0.250, 0.750) and W at (0.000, 0.000, 0.500).

=====

# LiLaDy

LiLaDy after structural relaxation (GGA-PBE, OQMD).

Its calculated total energy is -3.338 eV/atom.

The space group is F-43m (No. 216) and the conventional cell measures 7.237, 7.237 and 7.237 Å, with angles of 90.00, 90.00 and 90.00 degrees. The distinct sites, in fractional coordinates, are Li at (0.000, 0.000, 0.000), La at (0.250, 0.250, 0.250) and Dy at (0.250, 0.250, 0.750).

=====

# Ho4TmAg5

Ho4TmAg5 after structural relaxation (GGA-PBE, OQMD).

The value obtained for the formation energy from the elements is -343 meV/atom.

The space group is P4/mmm (No. 123) and the conventional cell measures 3.596, 3.596 and 18.036 Å, with angles of 90.00, 90.00 and 90.00 degrees. The distinct sites, in fractional coordinates, are Ho at (0.000, 0.000, 0.100), Ho at (0.000, 0.000, 0.301), Tm at (0.000, 0.000, 0.500), Ag at (0.500, 0.500, 0.000), Ag at (0.500, 0.500, 0.201) and Ag at (0.500, 0.500, 0.402).

=====

# Li2Zn2Ga2NiIr

Li2Zn2Ga2NiIr after structural relaxation (GGA-PBE, OQMD).

Its calculated total energy is -3.748 eV/atom.

The space group is P-4m2 (No. 115) and the conventional cell measures 4.229, 4.229 and 5.939 Å, with angles of 90.00, 90.00 and 90.00 degrees. The distinct sites, in fractional coordinates, are Li at (0.000, 0.000, 0.000), Li at (0.500, 0.500, 0.500), Zn at (0.000, 0.500, 0.738), Ga at (0.000, 0.500, 0.257), Ni at (0.000, 0.000, 0.500) and Ir at (0.500, 0.500, 0.000).

=====

# PrErBe2Si2

PrErBe2Si2 after structural relaxation (GGA-PBE, OQMD).

Its calculated total energy is -5.224 eV/atom.

The space group is P-3m1 (No. 164) and the conventional cell measures 3.9093, 3.9093 and 8.2607 Å, with angles of 90.00, 90.00 and 120.00 degrees. The distinct sites, in fractional coordinates, are Pr at (0.0000, 0.0000, 0.0000), Er at (0.0000, 0.0000, 0.5000), Be at (0.3333, 0.6667, 0.7369) and Si at (0.3333, 0.6667, 0.2635).

=====

# PaSnNO

PaSnNO after structural relaxation (GGA-PBE, OQMD).

Its calculated total energy is -7.224 eV/atom.

The space group is P4/nmm (No. 129, origin choice 2) and the conventional cell measures 3.746, 3.746 and 8.700 Å, with angles of 90.00, 90.00 and 90.00 degrees. The distinct sites, in fractional coordinates, are Pa at (0.250, 0.250, 0.166), Sn at (0.250, 0.750, 0.500), N at (0.250, 0.250, 0.764) and O at (0.250, 0.750, 0.000).

=====

# Ho2GaHg5

Ho2GaHg5 after structural relaxation (GGA-PBE, OQMD).

Its calculated total energy is -2.046 eV/atom.

The space group is Amm2 (No. 38) and the conventional cell measures 4.954, 6.550 and 11.447 Å, with angles of 90.00, 90.00 and 90.00 degrees. The distinct sites, in fractional coordinates, are Ho at (0.000, 0.000, 0.000), Ho at (0.500, 0.000, 0.336), Ga at (0.500, 0.000, 0.831), Hg at (0.000, 0.000, 0.503), Hg at (0.000, 0.245, 0.756) and Hg at (0.500, 0.249, 0.087).